w.
First-principles (GGA-PBE) data for a geometry-optimized Sc2TaNi structure, as listed in Alexandria.

Structure (POSCAR):
```
Sc2TaNi
1.0
-1.9867 1.9867 4.6145
1.9867 -1.9867 4.6145
1.9867 1.9867 -4.6145
Sc Ta Ni
2 1 1
Direct
0.0000 0.0000 0.0000
0.7500 0.2500 0.5000
0.2500 0.7500 0.5000
0.5000 0.5000 0.0000
```

Space-group type: I-4m2
Spin magnetization in μB/f.u.: 0.0

---

x.
First-principles (GGA-PBE) data for a geometry-optimized Sc2TaNi structure, as listed in Alexandria.

Structure (POSCAR):
```
Sc2TaNi
1.0
0.0000 3.3344 3.3344
3.3344 0.0000 3.3344
3.3344 3.3344 0.0000
Sc Ta Ni
2 1 1
Direct
0.2500 0.2500 0.2500
0.7500 0.7500 0.7500
0.0000 0.0000 0.0000
0.5000 0.5000 0.5000
```

Space-group type: Fm-3m
Spin magnetization in μB/f.u.: 2.7

---

y.
First-principles (GGA-PBE) data for a geometry-optimized Sc2TaNi structure, as listed in Alexandria.

Structure (POSCAR):
```
Sc2TaNi
1.0
5.3934 -1.5281 0.0000
5.3934 1.5281 0.0000
-2.1623 0.0000 4.5044
Sc Ta Ni
2 1 1
Direct
0.0000 0.0000 0.0000
0.2003 0.2003 0.6493
0.4189 0.4189 0.4275
0.7201 0.7201 0.0930
```

Space-group type: Cm
Spin magnetization in μB/f.u.: 0.0

---

z.
First-principles (GGA-PBE) data for a geometry-optimized Sc2TaNi structure, as listed in Alexandria.

Structure (POSCAR):
```
Sc2TaNi
1.0
3.0810 0.0000 0.0000
0.0000 3.0810 0.0000
0.0000 0.0000 7.6314
Sc Ta Ni
2 1 1
Direct
0.0000 0.0000 0.2153
0.0000 0.0000 0.7847
0.5000 0.5000 0.5000
0.5000 0.5000 0.0000
```

Space-group type: P4/mmm
Spin magnetization in μB/f.u.: 0.0

---

Stability, highest: z

---

w.
First-principles (GGA-PBE) data for a geometry-optimized Sc2TaNi structure, as listed in Alexandria.

Structure (POSCAR):
```
Sc2TaNi
1.0
-1.6117 2.3839 4.7123
1.6117 -2.3839 4.7123
1.6117 2.3839 -4.7123
Sc Ta Ni
2 1 1
Direct
0.2129 0.2129 0.0000
0.7871 0.7871 0.0000
0.5000 0.0000 0.5000
0.0000 0.5000 0.5000
```

Space-group type: Immm
Spin magnetization in μB/f.u.: 0.0

---

x.
First-principles (GGA-PBE) data for a geometry-optimized Sc2TaNi structure, as listed in Alexandria.

Structure (POSCAR):
```
Sc2TaNi
1.0
0.0000 3.2888 3.2888
3.2888 0.0000 3.2888
3.2888 3.2888 0.0000
Sc Ta Ni
2 1 1
Direct
0.0000 0.0000 0.0000
0.2500 0.2500 0.2500
0.7500 0.7500 0.7500
0.5000 0.5000 0.5000
```

Space-group type: F-43m
Spin magnetization in μB/f.u.: 0.0

---

Stability, highest: w